Material: CaBeSe4
Method: DFT, PBE-GGA
State: relaxed

Calculated values
formation energy from raw total energies: 21.0 kJ per mole of atoms
electronic total energy: -0.225 Ry/atom
symmetry: F-43m

Lattice parameters (Å, degrees): 5.787 5.787 5.787 60.00 60.00 60.00
Positions (direct):
Be1 0.750 0.750 0.750
Ca1 0.000 0.000 0.000
Se1 0.376 0.376 0.376
Se2 0.376 0.872 0.376
Se3 0.376 0.376 0.872
Se4 0.872 0.376 0.376